The following is a PBE calculation of a relaxed structure of Y2CuIrPt, from Alexandria via LeMat-Bulk.

abc: 5.3080 5.3080 4.8369
angles: 90.00 90.00 90.00
Fractional positions:
Cu: 0.5000 0.5000 0.5000
Y: 0.0000 0.5000 0.0000
Pt: 0.0000 0.0000 0.5000
Ir: 0.0000 0.0000 0.0000
Y: 0.5000 0.0000 0.0000

## Properties
Energy of formation from the pure elements: 2.30 kcal/mol of atoms
Symmetry: P4/mmm, No. 123
Total magnetic moment: 0.00 μB per atom
Total energy: -6.29 eV per atom
Volume: 27.26 A^3/atom